The following is a DFT calculation (PBE) of LiCa6Ag5 after structural relaxation.

Cell lengths 9.145, 9.145, 9.145 Å; angles 146.60, 131.15, 60.47 degrees
Atoms (fractional coordinates):
Li: 0.000 0.000 0.000
Ca: 0.085 0.830 0.255
Ca: 0.260 0.500 0.760
Ca: 0.425 0.170 0.255
Ca: 0.575 0.830 0.745
Ca: 0.740 0.500 0.240
Ca: 0.915 0.170 0.745
Ag: 0.158 0.658 0.500
Ag: 0.333 0.333 0.000
Ag: 0.500 0.000 0.500
Ag: 0.667 0.667 0.000
Ag: 0.842 0.342 0.500

density	4.160	g cm⁻³
spin magnetization	0.000	μB/cell
energy	-2.61	eV per atom
SG	Immm (71)
volume	314	Å³ per cell